1.
VASP calculation (PBE) on a relaxed structure of Ac2Tl3Hg.

Structure (POSCAR):
```
Ac2Tl3Hg
1.0
6.5086 1.2113 0.0000
0.8079 6.5709 0.0000
-3.6583 -3.8911 9.1447
Ac Hg Tl
4 2 6
direct
0.7500 0.2500 0.5000 Ac
0.7472 0.2528 0.0000 Ac
0.2528 0.7472 0.0000 Ac
0.2500 0.7500 0.5000 Ac
0.6665 0.6665 0.3331 Hg
0.3335 0.3335 0.6669 Hg
0.6637 0.6637 0.8309 Tl
0.3363 0.3363 0.1691 Tl
0.1685 0.1685 0.3369 Tl
0.8328 0.8328 0.1691 Tl
0.1672 0.1672 0.8309 Tl
0.8315 0.8315 0.6631 Tl
```

Properties
total magnetization	0.00	μB per atom
VASP energy	-35.097	eV for the cell shown
space-group type	Fmmm, No. 69
distance to the lowest polymorph of the same formula	0.0241	eV/atom
volume	382.1	Å³ per cell
DOS(E_F)	0.7494	states/eV/atom
formation energy from the elements	-0.322	eV per atom

2.
VASP calculation (PBE) on a relaxed structure of SrSc2ReBr.

Structure (POSCAR):
```
SrSc2ReBr
1.0
4.9237 0.0000 0.0000
0.0000 5.4361 0.0000
0.0000 0.0000 4.9237
Br Sr Re Sc
1 1 1 2
direct
0.0000 0.0000 0.0000 Br
0.0000 0.5000 0.0000 Sr
0.5000 0.5000 0.5000 Re
0.0000 0.0000 0.5000 Sc
0.5000 0.0000 0.0000 Sc
```

Properties
total magnetization	0.00	μB per atom
VASP energy	-24.525	eV for the cell shown
E_form (uncorrected)	0.79	eV per atom
space-group type	P4/mmm, No. 123
volume	131.8	Å³ per cell
DOS(E_F)	1.3037	states/eV/atom

3.
VASP calculation (PBE) on a relaxed structure of Ge2AsHSe.

Structure (POSCAR):
```
Ge2AsHSe
1.0
-0.0933 -4.0954 -2.3653
2.5878 1.3532 -2.4452
3.4696 -1.6669 2.7494
As Ge Se H
1 2 1 1
direct
0.5000 0.5000 0.5000 As
0.0000 0.0000 0.5000 Ge
0.5000 0.0000 0.0000 Ge
0.0000 0.5000 0.0000 Se
0.0000 0.0000 0.0000 H
```

Properties
total magnetization	0.00	μB per atom
VASP energy	-18.167	eV for the cell shown
space-group type	P4/mmm, No. 123
volume	85.2	Å³ per cell
DOS(E_F)	0.3937	states/eV/atom

4.
VASP calculation (PBE) on a relaxed structure of Y7Tm2.

Structure (POSCAR):
```
Y7Tm2
1.0
6.1538 0.0000 0.0000
-3.0769 5.3294 0.0000
0.0000 0.0000 8.7157
Y Tm
7 2
direct
0.0000 0.3343 0.6684 Y
0.6657 0.0000 0.3316 Y
0.0000 0.0000 0.0000 Y
0.3343 0.0000 0.6684 Y
0.0000 0.6657 0.3316 Y
0.3343 0.3343 0.3316 Y
0.6657 0.6657 0.6684 Y
0.3333 0.6667 0.0000 Tm
0.6667 0.3333 0.0000 Tm
```

Properties
total magnetization	0.00	μB per atom
VASP energy	-53.919	eV for the cell shown
space-group type	P-31m, No. 162
distance to the lowest polymorph of the same formula	0.0000	eV/atom
volume	285.8	Å³ per cell
DOS(E_F)	1.6559	states/eV/atom
formation energy from the elements	0.030	eV per atom

5.
VASP calculation (PBE) on a relaxed structure of Sm3Dy6YTh2.

Structure (POSCAR):
```
Sm3Dy6YTh2
1.0
-0.6659 6.0304 1.2496
-1.5735 -2.1964 -5.5741
-10.0429 -3.2652 5.2723
Th Sm Dy Y
2 3 6 1
direct
0.3334 0.6666 0.0000 Th
0.6666 0.3334 0.0000 Th
0.5000 0.5000 0.5000 Sm
0.8336 0.1664 0.5000 Sm
0.1664 0.8336 0.5000 Sm
0.0825 0.4203 0.2463 Dy
0.5797 0.9175 0.7537 Dy
0.4203 0.0825 0.2463 Dy
0.9175 0.5797 0.7537 Dy
0.2554 0.2554 0.7533 Dy
0.7446 0.7446 0.2467 Dy
0.0000 0.0000 0.0000 Y
```

Properties
total magnetization	0.00	μB per atom
VASP energy	-62.817	eV for the cell shown
space-group type	C2/m, No. 12
volume	386.3	Å³ per cell
DOS(E_F)	1.3334	states/eV/atom
formation energy from the elements	0.021	eV per atom

6.
VASP calculation (PBE) on a relaxed structure of ReTe3.

Structure (POSCAR):
```
ReTe3
1.0
-3.7943 2.4396 2.4188
-3.3622 -1.9164 -3.3500
-0.4639 -2.7333 2.0292
Te Re
3 1
direct
0.0000 0.5000 0.5000 Te
0.5000 0.5000 0.0000 Te
0.5000 0.0000 0.5000 Te
0.0000 0.0000 0.0000 Re
```

Properties
total magnetization	0.00	μB per atom
VASP energy	-17.760	eV for the cell shown
E_form (uncorrected)	1.03	eV per atom
space-group type	P4/mmm, No. 123
distance to the lowest polymorph of the same formula	0.8211	eV/atom
volume	90.0	Å³ per cell
DOS(E_F)	0.9015	states/eV/atom

7.
VASP calculation (PBE) on a relaxed structure of Pm2ZnAu.

Structure (POSCAR):
```
Pm2ZnAu
1.0
3.7111 0.0000 0.0000
0.0000 3.7111 0.0000
0.0000 0.0000 7.1911
Pm Au Zn
2 1 1
direct
0.0000 0.0000 0.7472 Pm
0.0000 0.0000 0.2528 Pm
0.5000 0.5000 0.0000 Au
0.5000 0.5000 0.5000 Zn
```

Properties
total magnetization	0.00	μB per atom
VASP energy	-16.269	eV for the cell shown
space-group type	P4/mmm, No. 123
distance to the lowest polymorph of the same formula	0.0021	eV/atom
volume	99.0	Å³ per cell
DOS(E_F)	0.8091	states/eV/atom
formation energy from the elements	-0.554	eV per atom

8.
VASP calculation (PBE) on a relaxed structure of Sc2BiHRh.

Structure (POSCAR):
```
Sc2BiHRh
1.0
4.6345 0.0000 0.0000
0.0000 4.6345 0.0000
0.0000 0.0000 3.8908
Rh Bi Sc H
1 1 2 1
direct
0.0000 0.0000 0.5000 Rh
0.5000 0.5000 0.5000 Bi
0.0000 0.5000 0.0000 Sc
0.5000 0.0000 0.0000 Sc
0.0000 0.0000 0.0000 H
```

Properties
total magnetization	0.00	μB per atom
VASP energy	-30.083	eV for the cell shown
space-group type	P4/mmm, No. 123
volume	83.6	Å³ per cell
DOS(E_F)	0.8140	states/eV/atom

9.
VASP calculation (PBE) on a relaxed structure of Li3U3BeS8.

Structure (POSCAR):
```
Li3U3BeS8
1.0
7.5721 0.0000 0.0000
-3.7861 6.5555 -0.0239
0.0000 -4.3494 6.2243
U S Li Be
3 8 3 1
direct
0.5000 0.0000 0.5000 U
0.5000 0.5000 0.5000 U
0.0000 0.5000 0.5000 U
0.7714 0.5428 0.2701 S
0.7718 0.0013 0.7306 S
0.2295 0.0014 0.7307 S
0.7705 0.9986 0.2693 S
0.2286 0.4572 0.7299 S
0.2455 0.4911 0.2368 S
0.2282 0.9987 0.2694 S
0.7545 0.5089 0.7632 S
0.0000 0.5000 0.0000 Li
0.5000 0.5000 0.0000 Li
0.0000 0.0000 0.0000 Li
0.0000 0.0000 0.5000 Be
```

Properties
total magnetization	0.47	μB per atom
VASP energy	-94.500	eV for the cell shown
E_form (uncorrected)	-1.21	eV per atom
space-group type	R-3m, No. 166
volume	308.2	Å³ per cell
DOS(E_F)	0.6216	states/eV/atom

10.
VASP calculation (PBE) on a relaxed structure of Bi5Pd3S.

Structure (POSCAR):
```
Bi5Pd3S
1.0
7.7976 0.3964 -0.1863
2.5159 7.3913 -0.1863
2.7348 2.0650 8.2231
Pd Bi S
6 10 2
direct
0.0000 0.0000 0.0000 Pd
0.3143 0.3143 0.1706 Pd
0.6857 0.6857 0.8294 Pd
0.2505 0.2505 0.5277 Pd
0.7495 0.7495 0.4723 Pd
0.0000 0.0000 0.5000 Pd
0.7676 0.7676 0.0714 Bi
0.0595 0.5961 0.6523 Bi
0.4039 0.9405 0.3477 Bi
0.5961 0.0595 0.6523 Bi
0.9405 0.4039 0.3477 Bi
0.6899 0.3101 0.0000 Bi
0.4713 0.4713 0.3287 Bi
0.3101 0.6899 0.0000 Bi
0.2324 0.2324 0.9286 Bi
0.5287 0.5287 0.6713 Bi
0.9351 0.9351 0.2865 S
0.0649 0.0649 0.7135 S
```

Properties
total magnetization	0.00	μB per atom
VASP energy	-80.465	eV for the cell shown
E_form (uncorrected)	-0.12	eV per atom
space-group type	C2/m, No. 12
volume	471.3	Å³ per cell
DOS(E_F)	0.5549	states/eV/atom

11.
VASP calculation (PBE) on a relaxed structure of CuSiCl2.

Structure (POSCAR):
```
CuSiCl2
1.0
6.6395 0.0000 0.0000
0.0000 6.6395 0.0000
3.3198 3.3198 3.9644
Cl Cu Si
4 2 2
direct
0.3750 0.3260 0.7500 Cl
0.6740 0.1250 0.2500 Cl
0.0760 0.6250 0.2500 Cl
0.8750 0.9240 0.7500 Cl
0.0000 0.0000 0.0000 Cu
0.7500 0.2500 0.5000 Cu
0.5000 0.5000 0.0000 Si
0.2500 0.7500 0.5000 Si
```

Properties
total magnetization	0.25	μB per atom
VASP energy	-25.019	eV for the cell shown
E_form (uncorrected)	0.18	eV per atom
space-group type	I-42d, No. 122
distance to the lowest polymorph of the same formula	0.4929	eV/atom
volume	174.8	Å³ per cell
DOS(E_F)	0.1595	states/eV/atom

12.
VASP calculation (PBE) on a relaxed structure of YMg2ZnHg4.

Structure (POSCAR):
```
YMg2ZnHg4
1.0
4.8894 0.0000 0.0000
2.4447 4.2343 0.0000
2.4447 1.4114 8.5727
Hg Mg Y Zn
4 2 1 1
direct
0.3827 0.3827 0.8519 Hg
0.8735 0.8735 0.3796 Hg
0.6173 0.6173 0.1481 Hg
0.1265 0.1265 0.6204 Hg
0.2464 0.2464 0.2607 Mg
0.7536 0.7536 0.7393 Mg
0.0000 0.0000 0.0000 Y
0.5000 0.5000 0.5000 Zn
```

Properties
total magnetization	0.00	μB per atom
VASP energy	-14.026	eV for the cell shown
space-group type	R-3m, No. 166
volume	177.5	Å³ per cell
DOS(E_F)	0.5972	states/eV/atom
formation energy from the elements	-0.236	eV per atom